Record 1
The following is a DFT calculation (GGA-PBE) of a relaxed Se2I3Br4 crystal.

abc: 12.9943 8.7053 15.3452
angles: 90.00 100.36 90.00
With the nearest neighbours (Å) after each atom.
Space group C2/c (No. 15)
Asymmetric unit:
Se 0.2057 0.0675 0.3390  1 Br 2.38
I 0.0000 0.1790 0.2500  2 Se 2.94
I 0.0927 0.4285 0.5622  1 Se 2.78, 1 I 3.06
Br 0.1304 0.0474 0.9539  1 Se 2.38
Br 0.2344 0.1482 0.7197  2 Se 2.70-2.79

Calculated density ... 3338 kg/m³
Crystal system ... monoclinic
Calculated total energy ... -0.07313 hartree per atom

=====

Record 2
The following is a DFT calculation (GGA-PBE) of a relaxed Se2IBr crystal.

abc: 7.3414 7.3414 7.3414
angles: 90.00 90.00 90.00
With the nearest neighbours (Å) after each atom.
Space group Fm-3m (No. 225)
Asymmetric unit:
Se 0.2500 0.2500 0.2500  4 Br 3.18, 4 I 3.18
I 0.0000 0.0000 0.0000  8 Se 3.18
Br 0.0000 0.0000 0.5000  8 Se 3.18

Polymorph energy (0 for the lowest one) ... 2.87 eV per formula unit
Calculated density ... 6123 kg/m³
Crystal system ... cubic
Calculated total energy ... -0.06802 hartree per atom